{"formula": "YUTe6", "functional": "PBE-GGA", "state": "optimized geometry", "cell": [[4.3772, 0.0000, 0.0000], [0.0000, 4.3703, 0.0000], [0.0000, 0.0000, 26.4387]], "species": ["Y", "Y", "U", "U", "Te", "Te", "Te", "Te", "Te", "Te", "Te", "Te", "Te", "Te", "Te", "Te"], "fractional_positions": [[0.0000, 0.0000, 0.0000], [0.0000, 0.5000, 0.5000], [0.5000, 0.0000, 0.6585], [0.5000, 0.5000, 0.1585], [0.0000, 0.0000, 0.1228], [0.0000, 0.0000, 0.4068], [0.0000, 0.0000, 0.7479], [0.0000, 0.5000, 0.2479], [0.0000, 0.5000, 0.6228], [0.0000, 0.5000, 0.9068], [0.5000, 0.0000, 0.2479], [0.5000, 0.0000, 0.5367], [0.5000, 0.0000, 0.9068], [0.5000, 0.5000, 0.0367], [0.5000, 0.5000, 0.4068], [0.5000, 0.5000, 0.7479]], "formation_energy_uncorrected_ev_per_atom": -0.7293, "magnetic_moment_mub_per_atom": 0.274, "final_energy_ev_per_atom": -5.305}

{"formula": "YUTe2", "functional": "PBE-GGA", "state": "optimized geometry", "cell": [[3.7572, 0.0000, 0.0000], [0.0000, 3.7572, 0.0000], [0.0000, 0.0000, 7.6072]], "species": ["Y", "U", "Te", "Te"], "fractional_positions": [[0.0000, 0.0000, 0.0000], [0.0000, 0.0000, 0.5000], [0.5000, 0.5000, 0.2503], [0.5000, 0.5000, 0.7497]], "formation_energy_uncorrected_ev_per_atom": -0.7868, "magnetic_moment_mub_per_atom": 1.036, "final_energy_ev_per_atom": -6.796}

{"formula": "YUTe4", "functional": "PBE-GGA", "state": "optimized geometry", "cell": [[7.5225, 0.0000, 0.0000], [0.0000, 7.5084, 0.0000], [-0.1441, 0.0000, 7.4571]], "species": ["Y", "Y", "U", "U", "Te", "Te", "Te", "Te", "Te", "Te", "Te", "Te"], "fractional_positions": [[0.0000, 0.0000, 0.0000], [0.0000, 0.5000, 0.5000], [0.5000, 0.0000, 0.5000], [0.5000, 0.5000, 0.0000], [0.1559, 0.1467, 0.3584], [0.1559, 0.3533, 0.8584], [0.3481, 0.6580, 0.3398], [0.3481, 0.8420, 0.8398], [0.6519, 0.1580, 0.1602], [0.6519, 0.3420, 0.6602], [0.8441, 0.6467, 0.1416], [0.8441, 0.8533, 0.6416]], "formation_energy_uncorrected_ev_per_atom": -0.7107, "magnetic_moment_mub_per_atom": 0.172, "final_energy_ev_per_atom": -5.764}

{"formula": "Y2UTe6", "functional": "PBE-GGA", "state": "optimized geometry", "cell": [[7.2501, 0.0000, 0.0000], [0.0000, 7.2501, 0.0000], [0.0000, 0.0000, 13.1206]], "species": ["Y", "Y", "Y", "Y", "U", "U", "Te", "Te", "Te", "Te", "Te", "Te", "Te", "Te", "Te", "Te", "Te", "Te"], "fractional_positions": [[0.0000, 0.0000, 0.1653], [0.0000, 0.0000, 0.8347], [0.5000, 0.5000, 0.3347], [0.5000, 0.5000, 0.6653], [0.0000, 0.0000, 0.5000], [0.5000, 0.5000, 0.0000], [0.1993, 0.1993, 0.3399], [0.1993, 0.1993, 0.6601], [0.2099, 0.2099, 0.0000], [0.2901, 0.7099, 0.5000], [0.3007, 0.6993, 0.1601], [0.3007, 0.6993, 0.8399], [0.6993, 0.3007, 0.1601], [0.6993, 0.3007, 0.8399], [0.7099, 0.2901, 0.5000], [0.7901, 0.7901, 0.0000], [0.8007, 0.8007, 0.3399], [0.8007, 0.8007, 0.6601]], "formation_energy_uncorrected_ev_per_atom": -0.8646, "magnetic_moment_mub_per_atom": 0.049, "final_energy_ev_per_atom": -5.650}

{"formula": "Y3UTe6", "functional": "PBE-GGA", "state": "optimized geometry", "cell": [[5.9573, -7.4625, 0.0000], [5.9573, 7.4625, 0.0000], [0.0000, 0.0000, 7.6810]], "species": ["Y", "Y", "Y", "Y", "Y", "Y", "U", "U", "Te", "Te", "Te", "Te", "Te", "Te", "Te", "Te", "Te", "Te", "Te", "Te"], "fractional_positions": [[0.0923, 0.9077, 0.5000], [0.2085, 0.4192, 0.3890], [0.4192, 0.2085, 0.8890], [0.5808, 0.7915, 0.3890], [0.7915, 0.5808, 0.8890], [0.9077, 0.0923, 0.0000], [0.3342, 0.6658, 0.8681], [0.6658, 0.3342, 0.3681], [0.0572, 0.5984, 0.6567], [0.1314, 0.2047, 0.7047], [0.2047, 0.1314, 0.2047], [0.2673, 0.7327, 0.2475], [0.4016, 0.9428, 0.6567], [0.4945, 0.5055, 0.6136], [0.5055, 0.4945, 0.1136], [0.5984, 0.0572, 0.1567], [0.7327, 0.2673, 0.7475], [0.7953, 0.8686, 0.7047], [0.8686, 0.7953, 0.2047], [0.9428, 0.4016, 0.1567]], "formation_energy_uncorrected_ev_per_atom": -1.0792, "magnetic_moment_mub_per_atom": 0.301, "final_energy_ev_per_atom": -6.032}

{"formula": "UZnTe", "functional": "PBE-GGA", "state": "optimized geometry", "cell": [[5.3955, 0.0000, 0.0000], [0.0000, 5.0216, 0.0000], [-0.9482, 0.0000, 11.5098]], "species": ["U", "U", "U", "U", "Zn", "Zn", "Zn", "Zn", "Te", "Te", "Te", "Te"], "fractional_positions": [[0.1971, 0.0000, 0.2169], [0.3029, 0.5000, 0.7831], [0.6971, 0.5000, 0.2169], [0.8029, 0.0000, 0.7831], [0.2174, 0.5000, 0.0503], [0.2826, 0.0000, 0.9497], [0.7174, 0.0000, 0.0503], [0.7826, 0.5000, 0.9497], [0.2235, 0.5000, 0.3650], [0.2765, 0.0000, 0.6350], [0.7235, 0.0000, 0.3650], [0.7765, 0.5000, 0.6350]], "formation_energy_uncorrected_ev_per_atom": -0.0832, "magnetic_moment_mub_per_atom": 0.965, "final_energy_ev_per_atom": -5.318}

{"formula": "UZnTe2", "functional": "PBE-GGA", "state": "optimized geometry", "cell": [[4.1702, 0.0000, 0.0000], [-2.0851, 3.6115, 0.0000], [0.0000, 0.0000, 28.6468]], "species": ["U", "U", "U", "Zn", "Zn", "Zn", "Te", "Te", "Te", "Te", "Te", "Te"], "fractional_positions": [[0.0000, 0.0000, 0.0000], [0.3333, 0.6667, 0.6667], [0.6667, 0.3333, 0.3333], [0.0000, 0.0000, 0.5000], [0.3333, 0.6667, 0.1667], [0.6667, 0.3333, 0.8333], [0.0000, 0.0000, 0.3988], [0.0000, 0.0000, 0.6012], [0.3333, 0.6667, 0.0655], [0.3333, 0.6667, 0.2678], [0.6667, 0.3333, 0.7322], [0.6667, 0.3333, 0.9345]], "formation_energy_uncorrected_ev_per_atom": -0.1958, "magnetic_moment_mub_per_atom": 0.559, "final_energy_ev_per_atom": -4.907}

{"formula": "U3Zn5Te12", "functional": "PBE-GGA", "state": "optimized geometry", "cell": [[-8.4896, 8.4896, 8.4896], [8.4896, -8.4896, 8.4896], [8.4896, 8.4896, -8.4896]], "species": ["U", "U", "U", "U", "U", "U", "U", "U", "U", "U", "U", "U", "Zn", "Zn", "Zn", "Zn", "Zn", "Zn", "Zn", "Zn", "Zn", "Zn", "Zn", "Zn", "Zn", "Zn", "Zn", "Zn", "Zn", "Zn", "Zn", "Zn", "Te", "Te", "Te", "Te", "Te", "Te", "Te", "Te", "Te", "Te", "Te", "Te", "Te", "Te", "Te", "Te", "Te", "Te", "Te", "Te", "Te", "Te", "Te", "Te", "Te", "Te", "Te", "Te", "Te", "Te", "Te", "Te", "Te", "Te", "Te", "Te", "Te", "Te", "Te", "Te", "Te", "Te", "Te", "Te", "Te", "Te", "Te", "Te"], "fractional_positions": [[0.1250, 0.2500, 0.3750], [0.1250, 0.3750, 0.7500], [0.2500, 0.3750, 0.1250], [0.2500, 0.8750, 0.6250], [0.3750, 0.1250, 0.2500], [0.3750, 0.7500, 0.1250], [0.6250, 0.2500, 0.8750], [0.6250, 0.8750, 0.7500], [0.7500, 0.1250, 0.3750], [0.7500, 0.6250, 0.8750], [0.8750, 0.6250, 0.2500], [0.8750, 0.7500, 0.6250], [0.0000, 0.0000, 0.0000], [0.0000, 0.0000, 0.5000], [0.0000, 0.5000, 0.0000], [0.0000, 0.5000, 0.5000], [0.1250, 0.7500, 0.8750], [0.1250, 0.8750, 0.2500], [0.2500, 0.1250, 0.8750], [0.2500, 0.6250, 0.3750], [0.3750, 0.2500, 0.6250], [0.3750, 0.6250, 0.7500], [0.5000, 0.0000, 0.0000], [0.5000, 0.0000, 0.5000], [0.5000, 0.5000, 0.0000], [0.5000, 0.5000, 0.5000], [0.6250, 0.3750, 0.2500], [0.6250, 0.7500, 0.3750], [0.7500, 0.3750, 0.6250], [0.7500, 0.8750, 0.1250], [0.8750, 0.1250, 0.7500], [0.8750, 0.2500, 0.1250], [0.0409, 0.2169, 0.1264], [0.0409, 0.3240, 0.9145], [0.0855, 0.6264, 0.4094], [0.0855, 0.9591, 0.6760], [0.0906, 0.7169, 0.6760], [0.0906, 0.8736, 0.4145], [0.1264, 0.0409, 0.2169], [0.1264, 0.5855, 0.9094], [0.1760, 0.2169, 0.5906], [0.1760, 0.4591, 0.5855], [0.2169, 0.1264, 0.0409], [0.2169, 0.5906, 0.1760], [0.2831, 0.3240, 0.9094], [0.2831, 0.4591, 0.3736], [0.3240, 0.9094, 0.2831], [0.3240, 0.9145, 0.0409], [0.3736, 0.2831, 0.4591], [0.3736, 0.5906, 0.9145], [0.4094, 0.0855, 0.6264], [0.4094, 0.8240, 0.7831], [0.4145, 0.0906, 0.8736], [0.4145, 0.8240, 0.5409], [0.4591, 0.3736, 0.2831], [0.4591, 0.5855, 0.1760], [0.5409, 0.4145, 0.8240], [0.5409, 0.6264, 0.7169], [0.5855, 0.1760, 0.4591], [0.5855, 0.9094, 0.1264], [0.5906, 0.1760, 0.2169], [0.5906, 0.9145, 0.3736], [0.6264, 0.4094, 0.0855], [0.6264, 0.7169, 0.5409], [0.6760, 0.0855, 0.9591], [0.6760, 0.0906, 0.7169], [0.7169, 0.5409, 0.6264], [0.7169, 0.6760, 0.0906], [0.7831, 0.4094, 0.8240], [0.7831, 0.8736, 0.9591], [0.8240, 0.5409, 0.4145], [0.8240, 0.7831, 0.4094], [0.8736, 0.4145, 0.0906], [0.8736, 0.9591, 0.7831], [0.9094, 0.1264, 0.5855], [0.9094, 0.2831, 0.3240], [0.9145, 0.0409, 0.3240], [0.9145, 0.3736, 0.5906], [0.9591, 0.6760, 0.0855], [0.9591, 0.7831, 0.8736]], "formation_energy_uncorrected_ev_per_atom": -0.3489, "magnetic_moment_mub_per_atom": 0.230, "final_energy_ev_per_atom": -4.246}